TeSeI3 after structural relaxation, computed with GGA-PBE.

abc: 6.0340 6.0340 6.0340
angles: 90.00 90.00 90.00
With the nearest neighbours (Å) after each atom.
Space group Pm-3m (No. 221)
One atom of each set of equivalent atoms:
Te (0.0000, 0.0000, 0.0000) x1  6 I 3.02
Se (0.5000, 0.5000, 0.5000) x1  12 I 4.27
I (0.0000, 0.0000, 0.5000) x3  2 Te 3.02

Formation energy without anion corrections in meV/atom: 434
E above lowest polymorph in meV/atom: 504

Te2Se2I after structural relaxation, computed with GGA-PBE.

abc: 8.6056 8.6056 3.8569
angles: 90.00 90.00 90.00
With the nearest neighbours (Å) after each atom.
Space group P4/mbm (No. 127)
One atom of each set of equivalent atoms:
Te (0.1875, 0.3125, 0.0000) x4  2 Se 2.85, 2 I 3.14
Se (0.1406, 0.6406, 0.5000) x4  2 Te 2.85
I (0.0000, 0.0000, 0.0000) x2  4 Te 3.14

Formation energy without anion corrections in meV/atom: 224
E above lowest polymorph in meV/atom: 193

TeSeI3 after structural relaxation, computed with GGA-PBE.

abc: 5.8096 5.8096 5.8096
angles: 90.00 90.00 90.00
With the nearest neighbours (Å) after each atom.
Space group Pm-3m (No. 221)
One atom of each set of equivalent atoms:
Te (0.0000, 0.0000, 0.0000) x1  12 I 4.11
Se (0.5000, 0.5000, 0.5000) x1  6 I 2.90
I (0.0000, 0.5000, 0.5000) x3  2 Se 2.90

Formation energy without anion corrections in meV/atom: 420
E above lowest polymorph in meV/atom: 490

Te6SeI2 after structural relaxation, computed with GGA-PBE.

abc: 8.9664 10.2852 10.5508
angles: 110.30 95.87 108.91
With the nearest neighbours (Å) after each atom.
Space group P-1 (No. 2)
One atom of each set of equivalent atoms:
Te (0.0101, 0.2423, 0.0783) x2  1 Te 2.85, 1 Se 2.87, 1 I 2.98
Te (0.1438, 0.5482, 0.8658) x2  2 Se 2.71-3.03, 2 Te 2.85-2.97
Te (0.1463, 0.4455, 0.5661) x2  2 Te 2.79-2.97
Te (0.4540, 0.3437, 0.8293) x2  2 Te 2.81-2.85, 1 Se 3.07
Te (0.4730, 0.5022, 0.6577) x2  2 Te 2.79-2.81
Te (0.4806, 0.0779, 0.6458) x2  1 I 2.83, 2 Te 2.85-3.05
Se (0.1812, 0.5580, 0.1580) x2  3 Te 2.71-3.03
I (0.1544, 0.8695, 0.5497) x2  1 Te 2.83
I (0.2540, 0.0606, 0.0160) x2  2 Te 2.98-3.29

Formation energy without anion corrections in meV/atom: 71

TeSeI2 after structural relaxation, computed with GGA-PBE.

abc: 7.7442 7.7442 7.7442
angles: 90.00 90.00 90.00
With the nearest neighbours (Å) after each atom.
Space group Fm-3m (No. 225)
One atom of each set of equivalent atoms:
Te (0.0000, 0.0000, 0.0000) x4  8 I 3.35
Se (0.0000, 0.0000, 0.5000) x4  8 I 3.35
I (0.2500, 0.2500, 0.2500) x8  4 Te 3.35, 4 Se 3.35

Formation energy without anion corrections in meV/atom: 594
E above lowest polymorph in meV/atom: 612

Te2Se2I after structural relaxation, computed with GGA-PBE.

abc: 7.0486 8.4214 8.8442
angles: 68.26 71.01 84.47
With the nearest neighbours (Å) after each atom.
Space group P-1 (No. 2)
One atom of each set of equivalent atoms:
Te (0.0629, 0.2314, 0.0569) x2  2 Se 2.54-2.64
Te (0.2738, 0.4326, 0.5759) x2  2 Se 2.62-2.73
Se (0.0143, 0.1845, 0.7929) x2  2 Te 2.62-2.64
Se (0.2906, 0.4901, 0.8559) x2  2 Te 2.54-2.73
I (0.2434, 0.2412, 0.3465) x2  2 Te 3.09-3.24

Formation energy without anion corrections in meV/atom: 30
E above lowest polymorph in meV/atom: 0

TeSeI after structural relaxation, computed with GGA-PBE.

abc: 4.1883 6.3913 8.5618
angles: 102.34 90.44 90.31
With the nearest neighbours (Å) after each atom.
Space group P-1 (No. 2)
One atom of each set of equivalent atoms:
Te (0.2456, 0.1957, 0.3203) x2  2 Se 2.63-2.74
Se (0.2415, 0.8637, 0.8808) x2  2 Te 2.63-2.74
I (0.2516, 0.7034, 0.3470) x2  4 Te 3.20-3.49

Formation energy without anion corrections in meV/atom: 25
E above lowest polymorph in meV/atom: 32

TeSeI after structural relaxation, computed with GGA-PBE.

abc: 7.0389 9.4432 8.2719
angles: 90.00 107.59 90.00
With the nearest neighbours (Å) after each atom.
Space group P2_1/c (No. 14)
One atom of each set of equivalent atoms:
Te (0.0555, 0.1041, 0.2191) x4  1 Se 2.40
Se (0.2568, 0.0928, 0.0309) x4  1 Te 2.40
I (0.2289, 0.6423, 0.9528) x4  2 Te 3.04-3.17

Formation energy without anion corrections in meV/atom: -8
E above lowest polymorph in meV/atom: 0

Te2SeI3 after structural relaxation, computed with GGA-PBE.

abc: 8.2342 26.5089 7.1312
angles: 90.00 111.33 90.00
With the nearest neighbours (Å) after each atom.
Space group P2_1/c (No. 14)
One atom of each set of equivalent atoms:
Te (0.1485, 0.2121, 0.4834) x4  2 Se 2.56-2.74
Te (0.2818, 0.6394, 0.0815) x4  2 I 2.77-2.92
Se (0.0425, 0.7207, 0.8045) x4  2 Te 2.56-2.74
I (0.3571, 0.6008, 0.7620) x4  1 Te 2.77
I (0.4262, 0.5452, 0.3725) x4  1 I 2.99, 1 Te 3.19
I (0.4340, 0.2093, 0.2171) x4  2 Te 2.92-3.13

Formation energy without anion corrections in meV/atom: 2

Te2Se2I after structural relaxation, computed with GGA-PBE.

abc: 8.4966 8.4966 3.9094
angles: 90.00 90.00 90.00
With the nearest neighbours (Å) after each atom.
Space group P4/mbm (No. 127)
One atom of each set of equivalent atoms:
Te (0.1317, 0.3683, 0.0000) x4  2 Se 2.89, 1 Te 3.17
Se (0.1915, 0.6915, 0.5000) x4  2 Te 2.89, 2 I 3.09
I (0.0000, 0.0000, 0.5000) x2  4 Se 3.09

Formation energy without anion corrections in meV/atom: 333
E above lowest polymorph in meV/atom: 302

Te2Se2I after structural relaxation, computed with GGA-PBE.

abc: 5.3624 5.3624 11.8288
angles: 90.00 90.00 90.00
With the nearest neighbours (Å) after each atom.
Space group I4/mmm (No. 139)
One atom of each set of equivalent atoms:
Te (0.0000, 0.5000, 0.2500) x4  4 Se 2.84
Se (0.0000, 0.0000, 0.1716) x4  4 Te 2.84
I (0.0000, 0.0000, 0.5000) x2  10 Se 3.88-4.30, 8 Te 3.99

Formation energy without anion corrections in meV/atom: 190
E above lowest polymorph in meV/atom: 160

TeSeI2 after structural relaxation, computed with GGA-PBE.

abc: 4.3046 7.0324 8.2271
angles: 87.41 74.90 73.54
With the nearest neighbours (Å) after each atom.
Space group P1 (No. 1)
One atom of each set of equivalent atoms:
Te (0.0000, 0.0000, 0.0000) x1  1 Se 2.36
Se (0.8380, 0.3502, 0.9948) x1  1 Te 2.36
I (0.4028, 0.9101, 0.2734) x1  2 Te 3.12-3.14
I (0.6881, 0.8808, 0.7287) x1  2 Te 3.13-3.14

Formation energy without anion corrections in meV/atom: 34
E above lowest polymorph in meV/atom: 52

TeSeI3 after structural relaxation, computed with GGA-PBE.

abc: 7.0623 9.1844 19.6011
angles: 84.83 85.51 83.17
With the nearest neighbours (Å) after each atom.
Space group P-1 (No. 2)
One atom of each set of equivalent atoms:
Te (0.0746, 0.1455, 0.1311) x2  1 Se 2.54, 1 I 2.76
Te (0.3361, 0.3274, 0.3436) x2  1 Se 2.59, 1 I 2.87
Se (0.0999, 0.1048, 0.0039) x2  1 Se 2.54, 1 Te 2.54, 1 I 2.82
Se (0.4072, 0.8414, 0.5899) x2  1 I 2.56, 1 Te 2.59
I (0.1090, 0.6902, 0.0858) x2  1 Se 2.82, 1 I 2.93
I (0.1142, 0.1056, 0.3086) x2  1 Te 2.87
I (0.2812, 0.6987, 0.8505) x2  1 Te 2.76
I (0.3011, 0.5060, 0.1957) x2  1 I 2.93, 1 Te 3.21
I (0.3750, 0.4927, 0.6130) x2  1 Te 2.99, 1 Se 3.23
I (0.4561, 0.1131, 0.5910) x2  1 Se 2.56

Formation energy without anion corrections in meV/atom: 23
E above lowest polymorph in meV/atom: 93

Te5Se12I3 after structural relaxation, computed with GGA-PBE.

abc: 17.3300 17.3300 17.3300
angles: 90.00 90.00 90.00
With the nearest neighbours (Å) after each atom.
Space group Ia-3d (No. 230)
One atom of each set of equivalent atoms:
Te (0.0000, 0.0000, 0.0000) x16  6 Se 2.90
Te (0.0000, 0.2500, 0.3750) x24  4 Se 2.71
Se (0.0388, 0.0760, 0.6441) x96  2 Te 2.71-2.90
I (0.0000, 0.2500, 0.1250) x24  4 Se 3.11

Formation energy without anion corrections in meV/atom: 348

TiTe2SeI after structural relaxation, computed with GGA-PBE.

abc: 5.3773 5.3773 5.2512
angles: 90.00 90.00 90.00
With the nearest neighbours (Å) after each atom.
Space group P4/mmm (No. 123)
One atom of each set of equivalent atoms:
Ti (0.0000, 0.0000, 0.0000) x1  2 I 2.63, 4 Te 2.69
Te (0.0000, 0.5000, 0.0000) x2  2 Ti 2.69
Se (0.5000, 0.5000, 0.5000) x1  8 Te 3.76, 4 I 3.80
I (0.0000, 0.0000, 0.5000) x1  2 Ti 2.63

Formation energy without anion corrections in meV/atom: 128
E above lowest polymorph in meV/atom: 0

TiTe2SeI after structural relaxation, computed with GGA-PBE.

abc: 5.4347 5.4347 5.6658
angles: 90.00 90.00 90.00
With the nearest neighbours (Å) after each atom.
Space group P4/mmm (No. 123)
One atom of each set of equivalent atoms:
Ti (0.0000, 0.0000, 0.0000) x1  4 I 3.84, 8 Te 3.93
Te (0.0000, 0.5000, 0.5000) x2  2 Se 2.72
Se (0.5000, 0.5000, 0.5000) x1  4 Te 2.72, 2 I 2.83
I (0.5000, 0.5000, 0.0000) x1  2 Se 2.83

Formation energy without anion corrections in meV/atom: 648
E above lowest polymorph in meV/atom: 520

TlTeSe2I after structural relaxation, computed with GGA-PBE.

abc: 8.3887 4.0952 11.7635
angles: 90.00 110.24 90.00
With the nearest neighbours (Å) after each atom.
Space group P2_1/m (No. 11)
One atom of each set of equivalent atoms:
Tl (0.2180, 0.2500, 0.0428) x2  4 Se 3.14-3.37
Te (0.4146, 0.2500, 0.6539) x2  3 Se 2.53-2.76
Se (0.3635, 0.2500, 0.3447) x2  2 Te 2.76, 2 I 3.04
Se (0.4798, 0.2500, 0.8802) x2  1 Te 2.53
I (0.0797, 0.7500, 0.2914) x2  2 Se 3.04

Formation energy without anion corrections in meV/atom: -149

VTe2SeI after structural relaxation, computed with GGA-PBE.

abc: 5.4484 5.4484 5.6404
angles: 90.00 90.00 90.00
With the nearest neighbours (Å) after each atom.
Space group P4/mmm (No. 123)
One atom of each set of equivalent atoms:
V (0.0000, 0.0000, 0.0000) x1  4 I 3.85, 8 Te 3.92
Te (0.0000, 0.5000, 0.5000) x2  2 Se 2.72
Se (0.5000, 0.5000, 0.5000) x1  4 Te 2.72, 2 I 2.82
I (0.5000, 0.5000, 0.0000) x1  2 Se 2.82

Formation energy without anion corrections in meV/atom: 1059
E above lowest polymorph in meV/atom: 706

VTeSeI2 after structural relaxation, computed with GGA-PBE.

abc: 5.6268 5.6268 5.6836
angles: 90.00 90.00 90.00
With the nearest neighbours (Å) after each atom.
Space group P4/mmm (No. 123)
One atom of each set of equivalent atoms:
V (0.0000, 0.0000, 0.0000) x1  4 Te 3.98, 8 I 4.00
Te (0.5000, 0.5000, 0.0000) x1  2 Se 2.84
Se (0.5000, 0.5000, 0.5000) x1  4 I 2.81, 2 Te 2.84
I (0.0000, 0.5000, 0.5000) x2  2 Se 2.81

Formation energy without anion corrections in meV/atom: 785
E above lowest polymorph in meV/atom: 410

VTe2SeI after structural relaxation, computed with GGA-PBE.

abc: 5.2088 5.2088 5.1878
angles: 90.00 90.00 90.00
With the nearest neighbours (Å) after each atom.
Space group P4/mmm (No. 123)
One atom of each set of equivalent atoms:
V (0.0000, 0.0000, 0.0000) x1  2 I 2.59, 4 Te 2.60
Te (0.0000, 0.5000, 0.0000) x2  2 V 2.60
Se (0.5000, 0.5000, 0.5000) x1  8 Te 3.68, 4 I 3.68
I (0.0000, 0.0000, 0.5000) x1  2 V 2.59

Formation energy without anion corrections in meV/atom: 353
E above lowest polymorph in meV/atom: 0